Compound: Ce2TmTi
Source: Alexandria via LeMat-Bulk
Functional: GGA-PBE
Structure: optimized geometry

The space group is P4/mmm (No. 123) and the conventional cell measures 4.560, 4.560 and 4.889 Å, with angles of 90.00, 90.00 and 90.00 degrees. The asymmetric unit holds Ce at (0.000, 0.500, 0.000), Tm at (0.000, 0.000, 0.500) and Ti at (0.500, 0.500, 0.500).

The calculation puts the magnetic moment at 0.03 Bohr magnetons per cell. The formation energy is 0.21 eV per atom. The calculation puts the density of states at the Fermi level at 10.471 states/eV/cell. The calculated volume is 102 Å³ per cell.



Compound: Ce2TmTi
Source: Alexandria via LeMat-Bulk
Functional: GGA-PBE
Structure: optimized geometry

The space group is Fm-3m (No. 225) and the conventional cell measures 7.529, 7.529 and 7.529 Å, with angles of 90.00, 90.00 and 90.00 degrees. The asymmetric unit holds Ce at (0.250, 0.250, 0.250), Tm at (0.000, 0.000, 0.000) and Ti at (0.000, 0.000, 0.500).

The calculation puts the magnetic moment at 8.55 Bohr magnetons per cell. The formation energy is 0.29 eV per atom. The calculation puts the density of states at the Fermi level at 48.074 states/eV/cell. The calculated volume is 427 Å³ per cell.



Compound: CeTmTi2
Source: Alexandria via LeMat-Bulk
Functional: GGA-PBE
Structure: optimized geometry

The space group is P4/mmm (No. 123) and the conventional cell measures 3.665, 3.665 and 6.724 Å, with angles of 90.00, 90.00 and 90.00 degrees. The asymmetric unit holds Ce at (0.000, 0.000, 0.000), Tm at (0.000, 0.000, 0.500) and Ti at (0.500, 0.500, 0.206).

The calculation puts the magnetic moment at 0.00 Bohr magnetons per cell. The formation energy is 0.19 eV per atom. The calculation puts the density of states at the Fermi level at 5.331 states/eV/cell. The calculated volume is 90 Å³ per cell.



Compound: CeTmTi4
Source: Alexandria via LeMat-Bulk
Functional: GGA-PBE
Structure: optimized geometry

The space group is F-43m (No. 216) and the conventional cell measures 8.067, 8.067 and 8.067 Å, with angles of 90.00, 90.00 and 90.00 degrees. The asymmetric unit holds Ce at (0.000, 0.000, 0.000), Tm at (0.250, 0.250, 0.250) and Ti at (0.125, 0.125, 0.625).

The calculation puts the magnetic moment at 21.17 Bohr magnetons per cell. The formation energy is 0.27 eV per atom. The calculation puts the density of states at the Fermi level at 43.730 states/eV/cell. The calculated volume is 525 Å³ per cell.